Sc3Tl2Te6 | Alexandria via LeMat-Bulk | PBE | relaxed; raw total energy = -4.8112 eV per atom; energy relative to the elements, uncorrected = -91 kJ per mole of atoms; space group = C2/m
1.0
3.6053 -6.2437 0.0000
3.6053 6.2437 0.0000
-2.4439 0.0000 8.1891
Sc Tl Te
3 2 6
direct
0.0000 0.0000 0.0000
0.3301 0.6699 0.0000
0.6699 0.3301 0.0000
0.1652 0.8348 0.5000
0.8348 0.1652 0.5000
0.0722 0.4035 0.2070
0.2665 0.2665 0.7976
0.4035 0.0722 0.2070
0.5965 0.9278 0.7930
0.7335 0.7335 0.2024
0.9278 0.5965 0.7930



ScTlTe4 | Alexandria via LeMat-Bulk | PBE | relaxed; E above lowest polymorph = 0.00 eV per formula unit; raw total energy = -4.1347 eV per atom; energy relative to the elements, uncorrected = -57 kJ per mole of atoms; space group = P4/nbm
1.0
6.6732 0.0000 0.0000
0.0000 6.6732 0.0000
0.0000 0.0000 8.6247
Sc Tl Te
2 2 8
direct
0.2500 0.2500 0.0000
0.7500 0.7500 0.0000
0.2500 0.2500 0.5000
0.7500 0.7500 0.5000
0.0991 0.5991 0.2026
0.0991 0.9009 0.7974
0.4009 0.5991 0.7974
0.4009 0.9009 0.2026
0.5991 0.0991 0.7974
0.5991 0.4009 0.2026
0.9009 0.0991 0.2026
0.9009 0.4009 0.7974



ScTl6Te4 | Alexandria via LeMat-Bulk | PBE | relaxed; raw total energy = -3.4341 eV per atom; energy relative to the elements, uncorrected = -41 kJ per mole of atoms; space group = P6_3mc
1.0
11.5390 0.0000 0.0000
-5.7695 9.9931 0.0000
0.0000 0.0000 7.0918
Sc Tl Te
2 12 8
direct
0.3333 0.6667 0.0000
0.6667 0.3333 0.5000
0.0218 0.5109 0.3449
0.1613 0.3227 0.6278
0.1613 0.8387 0.6278
0.3227 0.1613 0.1278
0.4891 0.5109 0.3449
0.4891 0.9782 0.3449
0.5109 0.0218 0.8449
0.5109 0.4891 0.8449
0.6773 0.8387 0.6278
0.8387 0.1613 0.1278
0.8387 0.6773 0.1278
0.9782 0.4891 0.8449
0.1960 0.3919 0.1050
0.1960 0.8040 0.1050
0.3333 0.6667 0.6062
0.3919 0.1960 0.6050
0.6081 0.8040 0.1050
0.6667 0.3333 0.1062
0.8040 0.1960 0.6050
0.8040 0.6081 0.6050



Sc10Tl3Te3 | Alexandria via LeMat-Bulk | PBE | relaxed; raw total energy = -5.5854 eV per atom; energy relative to the elements, uncorrected = -57 kJ per mole of atoms; space group = P-62m
1.0
8.4774 0.0000 0.0000
-4.2387 7.3417 0.0000
0.0000 0.0000 6.0081
Sc Tl Te
10 3 3
direct
0.0000 0.2396 0.0000
0.0000 0.7639 0.5000
0.2361 0.2361 0.5000
0.2396 0.0000 0.0000
0.3333 0.6667 0.2503
0.3333 0.6667 0.7497
0.6667 0.3333 0.2503
0.6667 0.3333 0.7497
0.7604 0.7604 0.0000
0.7639 0.0000 0.5000
0.0000 0.3906 0.5000
0.3906 0.0000 0.5000
0.6094 0.6094 0.5000
0.0000 0.6115 0.0000
0.3885 0.3885 0.0000
0.6115 0.0000 0.0000



Sc2TlTe2 | Alexandria via LeMat-Bulk | PBE | relaxed; E above lowest polymorph = 0.42 eV per formula unit; raw total energy = -4.9153 eV per atom; energy relative to the elements, uncorrected = -63 kJ per mole of atoms; space group = P4/mbm
1.0
8.4829 0.0000 0.0000
0.0000 8.4829 0.0000
0.0000 0.0000 3.6686
Sc Tl Te
4 2 4
direct
0.1406 0.3594 0.0000
0.3594 0.8594 0.0000
0.6406 0.1406 0.0000
0.8594 0.6406 0.0000
0.0000 0.0000 0.5000
0.5000 0.5000 0.5000
0.1455 0.6455 0.5000
0.3545 0.1455 0.5000
0.6455 0.8545 0.5000
0.8545 0.3545 0.5000



ScTl4Te | Alexandria via LeMat-Bulk | PBE | relaxed; raw total energy = -2.9943 eV per atom; energy relative to the elements, uncorrected = 16 kJ per mole of atoms; space group = F-43m
1.0
0.0000 4.4673 4.4673
4.4673 0.0000 4.4673
4.4673 4.4673 0.0000
Sc Tl Te
1 4 1
direct
0.0000 0.0000 0.0000
0.3747 0.3747 0.3747
0.3747 0.3747 0.8760
0.3747 0.8760 0.3747
0.8760 0.3747 0.3747
0.7500 0.7500 0.7500



Among the records above, which one has the lowest energy relative to the elements, uncorrected?
Sc3Tl2Te6



What is the formula in the fifth record?
Sc2TlTe2



What is the raw total energy in the fifth record?
-4.9153 eV per atom



Which of these has the lowest energy relative to the elements, uncorrected?
Sc3Tl2Te6